The following is a PBE calculation of crystalline MnHg3H at its relaxed geometry, from Alexandria via LeMat-Bulk.

abc: 4.5076 4.5076 4.5076
angles: 90.00 90.00 90.00
Last column: magnetic moment on the atom in μB.
Positions (direct):
1 Mn 0.5000 0.5000 0.5000  4.05
2 Hg 0.0000 0.0000 0.5000  -0.01
3 H 0.0000 0.0000 0.0000  -0.01
4 Hg 0.5000 0.0000 0.0000  -0.03
5 Hg 0.0000 0.5000 0.0000  -0.01

Uncorrected energy (eV per atom): -2.0835